{
  "formula": "La2CdFeO5",
  "functional": "PBE+U",
  "state": "relaxed",
  "lattice": [[6.860, 0.000, 0.000], [0.000, 6.860, 0.000], [0.000, 0.000, 5.848]],
  "species": ["La", "La", "La", "La", "Cd", "Cd", "Fe", "Fe", "O", "O", "O", "O", "O", "O", "O", "O", "O", "O"],
  "fractional_positions": [[0.175, 0.325, 0.000], [0.325, 0.825, 0.000], [0.675, 0.175, 0.000], [0.825, 0.675, 0.000], [0.000, 0.000, 0.500], [0.500, 0.500, 0.500], [0.000, 0.500, 0.500], [0.500, 0.000, 0.500], [0.000, 0.000, 0.000], [0.141, 0.641, 0.259], [0.141, 0.641, 0.741], [0.359, 0.141, 0.259], [0.359, 0.141, 0.741], [0.500, 0.500, 0.000], [0.641, 0.859, 0.259], [0.641, 0.859, 0.741], [0.859, 0.359, 0.259], [0.859, 0.359, 0.741]],
  "mass_density_g_cm3": 6.35,
  "total_energy_ev_per_cell": -121.825
}